[1]
Ca2BiP: relaxed, GGA-PBE.

POSCAR file:
```
Ca2BiP
1.0
1.996 1.152 8.623
-1.996 1.152 8.623
0.000 -2.305 8.623
Ca Bi P
2 1 1
Direct
0.228 0.228 0.228
0.772 0.772 0.772
0.000 0.000 0.000
0.500 0.500 0.500
```

For the formation energy, the calculation gives -0.827 eV/atom. Its total magnetization is 0.000 Bohr magnetons per cell. For the volume, the calculation gives 119 Å³/cell.

=====

[2]
Y4SiMo: relaxed, GGA-PBE.

POSCAR file:
```
Y4SiMo
1.0
0.000 4.231 4.231
4.231 0.000 4.231
4.231 4.231 0.000
Y Si Mo
4 1 1
Direct
0.124 0.124 0.124
0.124 0.124 0.629
0.124 0.629 0.124
0.629 0.124 0.124
0.500 0.500 0.500
0.750 0.750 0.750
```

Its total magnetization is 0.364 Bohr magnetons per cell. For the volume, the calculation gives 151 Å³/cell. The uncorrected formation energy comes out at 0.885 eV per atom.

=====

[3]
RbYPO2: relaxed, GGA-PBE.

POSCAR file:
```
RbYPO2
1.0
4.552 0.000 0.000
0.000 4.552 0.000
0.000 0.000 5.697
Rb Y P O
1 1 1 2
Direct
0.000 0.000 0.000
0.500 0.500 0.500
0.500 0.500 0.000
0.000 0.500 0.500
0.500 0.000 0.500
```

Its total magnetization is 2.995 Bohr magnetons per cell. For the volume, the calculation gives 118 Å³/cell. Its energy above the most stable polymorph in this dataset is 0.00 eV per formula unit. The uncorrected formation energy comes out at -1.106 eV per atom.

=====

[4]
TmSc4: relaxed, GGA-PBE.

POSCAR file:
```
TmSc4
1.0
5.233 0.000 0.000
0.000 5.233 0.000
0.000 0.000 5.233
Tm Sc
1 4
Direct
0.000 0.000 0.000
0.000 0.000 0.500
0.000 0.500 0.000
0.500 0.000 0.000
0.500 0.500 0.500
```

For the formation energy, the calculation gives 0.863 eV/atom. Its total magnetization is 0.391 Bohr magnetons per cell. For the volume, the calculation gives 143 Å³/cell. Its energy above the most stable polymorph in this dataset is 4.06 eV per formula unit.

=====

[5]
TaRuS2: relaxed, GGA-PBE.

POSCAR file:
```
TaRuS2
1.0
-2.720 2.720 5.159
2.720 -2.720 5.159
2.720 2.720 -5.159
Ta Ru S
2 2 4
Direct
0.000 0.000 0.000
0.750 0.250 0.500
0.250 0.750 0.500
0.500 0.500 0.000
0.140 0.625 0.015
0.375 0.390 0.515
0.610 0.125 0.985
0.875 0.860 0.485
```

Its total magnetization is 0.000 Bohr magnetons per cell. For the volume, the calculation gives 153 Å³/cell. Its energy above the most stable polymorph in this dataset is 0.60 eV per formula unit. The uncorrected formation energy comes out at -0.201 eV per atom.

=====

[6]
MoRuAu2: relaxed, GGA-PBE.

POSCAR file:
```
MoRuAu2
1.0
0.000 3.209 3.209
3.209 0.000 3.209
3.209 3.209 0.000
Mo Ru Au
1 1 2
Direct
0.000 0.000 0.000
0.250 0.250 0.250
0.500 0.500 0.500
0.750 0.750 0.750
```

For the formation energy, the calculation gives 0.483 eV/atom. Its total magnetization is 0.022 Bohr magnetons per cell. For the volume, the calculation gives 66 Å³/cell. Its energy above the most stable polymorph in this dataset is 1.44 eV per formula unit.

=====

[7]
PmPrBiTe: relaxed, GGA-PBE.

POSCAR file:
```
PmPrBiTe
1.0
2.283 1.318 7.418
-2.283 1.318 7.418
0.000 -2.636 7.418
Pm Pr Bi Te
1 1 1 1
Direct
0.000 0.000 0.000
0.501 0.501 0.501
0.252 0.252 0.252
0.749 0.749 0.749
```

Its total magnetization is 0.000 Bohr magnetons per cell. For the volume, the calculation gives 134 Å³/cell. Its energy above the most stable polymorph in this dataset is 0.00 eV per formula unit. The uncorrected formation energy comes out at -1.206 eV per atom.

=====

[8]
ZnNi2Se: relaxed, GGA-PBE.

POSCAR file:
```
ZnNi2Se
1.0
3.051 0.000 0.000
0.000 3.077 0.000
0.000 0.000 5.654
Zn Ni Se
1 2 1
Direct
0.000 0.000 0.000
0.500 0.500 0.247
0.500 0.500 0.753
0.000 0.000 0.500
```

Its total magnetization is 0.000 Bohr magnetons per cell. For the volume, the calculation gives 53 Å³/cell. Its energy above the most stable polymorph in this dataset is 0.19 eV per formula unit. The uncorrected formation energy comes out at -0.020 eV per atom.

=====

[9]
KBeCd: relaxed, GGA-PBE.

POSCAR file:
```
KBeCd
1.0
6.196 -2.086 0.000
6.196 2.086 0.000
-0.082 0.000 2.920
K Be Cd
1 1 1
Direct
0.000 0.000 0.000
0.736 0.736 0.007
0.265 0.265 0.510
```

For the formation energy, the calculation gives 0.435 eV/atom. Its total magnetization is 0.000 Bohr magnetons per cell. For the volume, the calculation gives 75 Å³/cell. Its energy above the most stable polymorph in this dataset is 0.53 eV per formula unit.

=====

[10]
CePrNiPt: relaxed, GGA-PBE.

POSCAR file:
```
CePrNiPt
1.0
4.440 0.000 0.000
0.000 1.928 5.394
0.000 -1.928 5.394
Ce Pr Ni Pt
1 1 1 1
Direct
0.000 0.000 0.000
0.500 0.725 0.725
0.500 0.455 0.455
0.000 0.289 0.289
```

For the formation energy, the calculation gives -0.688 eV/atom. Its total magnetization is 0.528 Bohr magnetons per cell. For the volume, the calculation gives 92 Å³/cell. Its energy above the most stable polymorph in this dataset is 0.00 eV per formula unit.

=====

[11]
GaAg2WS: relaxed, GGA-PBE.

POSCAR file:
```
GaAg2WS
1.0
4.780 0.000 0.000
0.000 4.780 0.000
0.000 0.000 4.782
Ga Ag W S
1 2 1 1
Direct
0.000 0.000 0.000
0.000 0.500 0.000
0.500 0.000 0.000
0.500 0.500 0.500
0.000 0.000 0.500
```

Its total magnetization is 3.774 Bohr magnetons per cell. For the volume, the calculation gives 109 Å³/cell. The uncorrected formation energy comes out at 1.403 eV per atom.

=====

[12]
K3CaCr: relaxed, GGA-PBE.

POSCAR file:
```
K3CaCr
1.0
6.699 0.000 0.000
0.000 6.699 0.000
0.000 0.000 6.699
K Ca Cr
3 1 1
Direct
0.000 0.000 0.500
0.000 0.500 0.000
0.500 0.000 0.000
0.500 0.500 0.500
0.000 0.000 0.000
```

For the formation energy, the calculation gives 0.737 eV/atom. Its total magnetization is 5.652 Bohr magnetons per cell. For the volume, the calculation gives 301 Å³/cell.

=====

> volume of number 4 (TmSc4)?

143 Å³/cell

=====

> What is the volume in the seventh record?

134 Å³/cell

=====

> Among the records above, which one has the lowest volume?

ZnNi2Se